No. 1
# PrCd5Hg8 GGA-PBE relaxed
data_PrCd5Hg8
_chemical_formula_sum 'Pr2 Cd10 Hg16'
_cell_length_a 8.918
_cell_length_b 8.918
_cell_length_c 8.968
_cell_angle_alpha 90.00
_cell_angle_beta 90.00
_cell_angle_gamma 90.00
_space_group_name_H-M_alt 'I -4'
_space_group_IT_number 82
loop_
_space_group_symop_operation_xyz
'x,y,z'
'y,-x,-z'
'-x,-y,z'
'-y,x,-z'
'x+1/2,y+1/2,z+1/2'
'y+1/2,-x+1/2,-z+1/2'
'-x+1/2,-y+1/2,z+1/2'
'-y+1/2,x+1/2,-z+1/2'
loop_
_atom_site_label
_atom_site_type_symbol
_atom_site_fract_x
_atom_site_fract_y
_atom_site_fract_z
Pr1 Pr 0.000 0.000 0.000
Cd1 Cd 0.000 0.500 0.750
Cd2 Cd 0.148 0.275 0.358
Hg1 Hg 0.064 0.167 0.677
Hg2 Hg 0.096 0.348 0.038
# crystal system = tetragonal
# DOS(E_F) = 0.354 states/eV/atom
# calculated total energy = -0.910 eV/atom


No. 2
# PrCd2Hg3 GGA-PBE relaxed
data_PrCd2Hg3
_chemical_formula_sum 'Pr2 Cd4 Hg6'
_cell_length_a 5.0495
_cell_length_b 5.0495
_cell_length_c 13.6053
_cell_angle_alpha 90.00
_cell_angle_beta 90.00
_cell_angle_gamma 120.00
_space_group_name_H-M_alt 'P 63/m m c'
_space_group_IT_number 194
_space_group_name_Hall '-P 6c 2c'
loop_
_atom_site_label
_atom_site_type_symbol
_atom_site_fract_x
_atom_site_fract_y
_atom_site_fract_z
Pr1 Pr 0.0000 0.0000 0.2500
Cd1 Cd 0.3333 0.6667 0.1153
Hg1 Hg 0.0000 0.0000 0.0000
Hg2 Hg 0.3333 0.6667 0.6304
# relative energy among the computed polymorphs = 0.0000 eV/atom
# crystal system = hexagonal
# DOS(E_F) = 0.628 states/eV/atom


No. 3
# Pr3Cd7Hg2 GGA-PBE relaxed
data_Pr3Cd7Hg2
_chemical_formula_sum 'Pr9 Cd21 Hg6'
_cell_length_a 6.0251
_cell_length_b 6.0251
_cell_length_c 29.2296
_cell_angle_alpha 90.00
_cell_angle_beta 90.00
_cell_angle_gamma 120.00
_space_group_name_H-M_alt 'R -3 m'
_space_group_IT_number 166
_space_group_name_Hall '-R 3 2"'
loop_
_atom_site_label
_atom_site_type_symbol
_atom_site_fract_x
_atom_site_fract_y
_atom_site_fract_z
Pr1 Pr 0.0000 0.0000 0.0000
Pr2 Pr 0.0000 0.0000 0.1408
Cd1 Cd 0.0000 0.0000 0.5000
Cd2 Cd 0.0067 0.5033 0.9154
Hg1 Hg 0.0000 0.0000 0.3352
# crystal system = trigonal
# DOS(E_F) = 0.749 states/eV/atom
# calculated total energy = -2.041 eV/atom


No. 4
# Pr3CdHg2 GGA-PBE relaxed
data_Pr3CdHg2
_chemical_formula_sum 'Pr6 Cd2 Hg4'
_cell_length_a 5.462
_cell_length_b 16.417
_cell_length_c 3.880
_cell_angle_alpha 90.00
_cell_angle_beta 90.00
_cell_angle_gamma 90.00
_space_group_name_H-M_alt 'C m m m'
_space_group_IT_number 65
_space_group_name_Hall '-C 2 2'
loop_
_atom_site_label
_atom_site_type_symbol
_atom_site_fract_x
_atom_site_fract_y
_atom_site_fract_z
Pr1 Pr 0.000 0.000 0.000
Pr2 Pr 0.000 0.331 0.000
Cd1 Cd 0.000 0.500 0.500
Hg1 Hg 0.000 0.163 0.500
# relative energy among the computed polymorphs = 0.0000 eV/atom
# crystal system = orthorhombic
# DOS(E_F) = 1.109 states/eV/atom


No. 5
# PrCdHg6 GGA-PBE relaxed
data_PrCdHg6
_chemical_formula_sum 'Pr2 Cd2 Hg12'
_cell_length_a 4.992
_cell_length_b 7.402
_cell_length_c 11.040
_cell_angle_alpha 90.00
_cell_angle_beta 90.00
_cell_angle_gamma 90.00
_space_group_name_H-M_alt 'A m m 2'
_space_group_IT_number 38
loop_
_space_group_symop_operation_xyz
'x,y,z'
'-x,-y,z'
'-x,y,z'
'x,-y,z'
'x,y+1/2,z+1/2'
'-x,-y+1/2,z+1/2'
'-x,y+1/2,z+1/2'
'x,-y+1/2,z+1/2'
loop_
_atom_site_label
_atom_site_type_symbol
_atom_site_fract_x
_atom_site_fract_y
_atom_site_fract_z
Pr1 Pr 0.000 0.000 0.000
Cd1 Cd 0.500 0.000 0.236
Hg1 Hg 0.000 0.000 0.466
Hg2 Hg 0.000 0.235 0.737
Hg3 Hg 0.500 0.000 0.798
Hg4 Hg 0.500 0.216 0.522
# crystal system = orthorhombic
# DOS(E_F) = 0.419 states/eV/atom
# calculated total energy = -1.111 eV/atom


No. 6
# PrCd5Hg6 GGA-PBE relaxed
data_PrCd5Hg6
_chemical_formula_sum 'Pr2 Cd10 Hg12'
_cell_length_a 4.650
_cell_length_b 14.281
_cell_length_c 8.800
_cell_angle_alpha 90.00
_cell_angle_beta 90.80
_cell_angle_gamma 90.00
_space_group_name_H-M_alt 'C 1 2/m 1'
_space_group_IT_number 12
loop_
_space_group_symop_operation_xyz
'x,y,z'
'-x,-y,-z'
'-x,y,-z'
'x,-y,z'
'x+1/2,y+1/2,z'
'-x+1/2,-y+1/2,-z'
'-x+1/2,y+1/2,-z'
'x+1/2,-y+1/2,z'
loop_
_atom_site_label
_atom_site_type_symbol
_atom_site_fract_x
_atom_site_fract_y
_atom_site_fract_z
Pr1 Pr 0.000 0.000 0.000
Cd1 Cd 0.000 0.000 0.500
Cd2 Cd 0.000 0.326 0.000
Cd3 Cd 0.000 0.330 0.500
Hg1 Hg 0.001 0.500 0.264
Hg2 Hg 0.003 0.168 0.744
# relative energy among the computed polymorphs = 0.0000 eV/atom
# crystal system = monoclinic
# DOS(E_F) = 0.334 states/eV/atom


Among the records above, which one has the lowest DOS(E_F)?
PrCd5Hg6


Among the records above, which one has the highest DOS(E_F)?
Pr3CdHg2


Which of these has the highest DOS(E_F)?
Pr3CdHg2